{"formula": "CaFeHg3", "functional": "PBEsol", "state": "relaxed", "lattice_angstrom": [[5.576, 0.000, 0.000], [0.000, 5.576, 0.000], [0.000, 0.000, 5.576]], "species": ["Ca", "Hg", "Hg", "Hg", "Fe"], "fractional_positions": [[0.000, 0.000, 0.000], [0.000, 0.500, 0.000], [0.000, 0.000, 0.500], [0.500, 0.000, 0.000], [0.500, 0.500, 0.500]], "magnetic_moment_mub_per_fu": 3.13, "energy_ev_per_atom": -1.47}

---

{"formula": "Ca4FeHg", "functional": "PBEsol", "state": "relaxed", "lattice_angstrom": [[-5.136, 2.827, 2.304], [-2.464, -1.917, 5.471], [0.443, 3.659, 5.108]], "species": ["Ca", "Ca", "Ca", "Ca", "Fe", "Hg"], "fractional_positions": [[0.376, 0.376, 0.376], [0.376, 0.376, 0.873], [0.873, 0.376, 0.376], [0.376, 0.873, 0.376], [0.750, 0.750, 0.750], [0.000, 0.000, 0.000]], "magnetic_moment_mub_per_fu": 2.25, "energy_ev_per_atom": -2.26}

---

{"formula": "CaFeHg2", "functional": "PBEsol", "state": "relaxed", "lattice_angstrom": [[-1.923, 0.334, -2.730], [-2.658, -2.002, -0.435], [-6.668, 5.326, 3.287]], "species": ["Ca", "Hg", "Hg", "Fe"], "fractional_positions": [[0.505, 0.505, 0.485], [0.992, 0.992, 0.023], [0.747, 0.747, 0.760], [0.256, 0.256, 0.232]], "magnetic_moment_mub_per_fu": 2.41, "energy_ev_per_atom": -2.74}

---

What did the third record say?
{"formula": "CaFeHg2", "functional": "PBEsol", "state": "relaxed", "lattice_angstrom": [[-1.923, 0.334, -2.730], [-2.658, -2.002, -0.435], [-6.668, 5.326, 3.287]], "species": ["Ca", "Hg", "Hg", "Fe"], "fractional_positions": [[0.505, 0.505, 0.485], [0.992, 0.992, 0.023], [0.747, 0.747, 0.760], [0.256, 0.256, 0.232]], "magnetic_moment_mub_per_fu": 2.41, "energy_ev_per_atom": -2.74}